Entry from Alexandria via LeMat-Bulk: Nd3TeRh after structural relaxation (PBE).

Structure (POSCAR):
```
Nd3TeRh
1.0
8.332 0.000 0.000
0.000 4.203 0.000
-2.443 0.000 8.484
Nd Te Rh
6 2 2
Cartesian
-0.022 1.051 2.205
0.275 1.051 7.939
1.208 3.152 5.013
4.681 1.051 3.471
5.615 3.152 0.544
5.911 3.152 6.279
2.613 3.152 1.983
3.277 1.051 6.501
-0.816 1.051 5.163
6.705 3.152 3.321
```

Results
symmetry	No. 11
energy above the lowest structure with this stoichiometry	22	meV per atom
energy relative to the elements, uncorrected	-0.85	eV per atom
calculated total energy	-0.21337	Ha/atom